First-principles (GGA-PBE) data for an optimized crystal structure of PmHo2ErAs4, as listed in the Alexandria database.

a b c (Å): 7.154 4.133 7.155
angles (deg): 90.00 109.47 90.00
Fractional positions:
Pm 0.000 0.000 0.000
Ho 0.000 0.500 0.500
Ho 0.500 0.000 0.500
Er 0.500 0.500 0.000
As 0.254 0.000 0.748
As 0.256 0.500 0.255
As 0.744 0.500 0.745
As 0.746 0.000 0.252

Summary:
Crystal system: monoclinic
Energy relative to the elements: -1.5194 eV/atom
V: 199.45 Å³ per cell
Space group: P2/m, No. 10